The following is a PBE calculation of a geometry-optimized Sm2Y5Tm5 structure, from the Alexandria database.

```
data_Sm2Y5Tm5
_cell_length_a 5.0136
_cell_length_b 7.9280
_cell_length_c 10.6434
_cell_angle_alpha 72.65
_cell_angle_beta 76.38
_cell_angle_gamma 71.57
_space_group_name_H-M_alt 'P 1'
_space_group_IT_number 1
loop_
_space_group_symop_operation_xyz
'x,y,z'
loop_
_atom_site_label
_atom_site_type_symbol
_atom_site_fract_x
_atom_site_fract_y
_atom_site_fract_z
Y1 Y 0.4153 0.9187 0.2507
Y2 Y 0.3338 0.3326 0.9997
Y3 Y 0.5847 0.0813 0.7493
Y4 Y 0.6662 0.6674 0.0003
Y5 Y 0.5000 0.5000 0.5000
Sm1 Sm 0.9166 0.4185 0.7482
Sm2 Sm 0.0834 0.5815 0.2518
Tm1 Tm 0.7504 0.2482 0.2511
Tm2 Tm 0.8318 0.8359 0.5004
Tm3 Tm 0.2496 0.7518 0.7489
Tm4 Tm 0.1682 0.1641 0.4996
Tm5 Tm 0.0000 0.0000 0.0000
```

As for the total magnetic moment: 0.0 μB per formula unit. Its energy of formation is 0.32 eV per formula unit. The offset from the most stable computed form comes out at 0.0000 eV per atom. The calculation puts the density of states at the Fermi level at 17.91 states/eV/f.u.